Entry 1:
# YTcP2

A relaxed structure of YTcP2 (GGA-PBE, Alexandria).

```
8
Lattice="3.767 0.000 0.000 0.000 3.767 0.000 0.000 0.000 9.812" Properties=species:S:1:pos:R:3 pbc="T T T"
Y 0.000 0.000 0.000
Y 1.884 1.884 4.906
Tc 0.000 1.884 2.453
Tc 1.884 0.000 7.359
P 0.000 0.000 4.906
P 0.000 1.884 7.359
P 1.884 0.000 2.453
P 1.884 1.884 0.000
```

Summary:
theoretical density: 5.9 g cm⁻³
formation energy from the elements: -0.18 eV/atom
D(E_F): 0.879 states/eV per atom

Entry 2:
# Y2TcP

A relaxed structure of Y2TcP (GGA-PBE, Alexandria).

```
8
Lattice="3.492 0.000 0.000 0.000 4.344 0.000 0.000 0.000 11.607" Properties=species:S:1:pos:R:3 pbc="T T T"
Y 0.000 0.000 0.000
Y 0.000 2.172 2.800
Y 1.746 0.000 8.604
Y 1.746 2.172 5.803
Tc 0.000 2.172 9.002
Tc 1.746 0.000 3.198
P 0.000 0.000 4.856
P 1.746 2.172 10.660
```

Summary:
theoretical density: 5.8 g cm⁻³
formation energy from the elements: -0.54 eV/atom
D(E_F): 0.457 states/eV per atom

Entry 3:
# YTcP2

A relaxed structure of YTcP2 (GGA-PBE, Alexandria).

```
8
Lattice="3.179 0.000 0.000 0.000 3.498 0.000 0.000 0.000 12.672" Properties=species:S:1:pos:R:3 pbc="T T T"
Y 0.000 0.000 0.000
Y 1.589 1.749 6.336
Tc 0.000 1.749 3.203
Tc 1.589 0.000 9.540
P 0.000 0.000 7.750
P 0.000 1.749 10.504
P 1.589 0.000 4.168
P 1.589 1.749 1.414
```

Summary:
theoretical density: 5.9 g cm⁻³
formation energy from the elements: -0.74 eV/atom
D(E_F): 0.337 states/eV per atom

Entry 4:
# YTcP2

A relaxed structure of YTcP2 (GGA-PBE, Alexandria).

```
8
Lattice="4.350 0.000 0.000 0.000 4.358 0.000 0.000 0.000 6.764" Properties=species:S:1:pos:R:3 pbc="T T T"
Y 0.000 0.000 0.000
Y 2.175 2.179 0.000
Tc 0.000 0.000 3.382
Tc 2.175 2.179 3.382
P 0.000 2.179 1.986
P 0.000 2.179 4.778
P 2.175 0.000 1.986
P 2.175 0.000 4.778
```

Summary:
theoretical density: 6.4 g cm⁻³
formation energy from the elements: -0.55 eV/atom
D(E_F): 0.592 states/eV per atom

Entry 5:
# YTcP2

A relaxed structure of YTcP2 (GGA-PBE, Alexandria).

```
4
Lattice="3.259 0.000 0.000 0.000 3.259 0.000 0.000 0.000 6.325" Properties=species:S:1:pos:R:3 pbc="T T T"
Y 0.000 0.000 0.000
Tc 1.630 1.630 4.043
P 0.000 0.000 3.131
P 1.630 1.630 1.634
```

Summary:
theoretical density: 6.2 g cm⁻³
formation energy from the elements: -0.47 eV/atom
D(E_F): 0.311 states/eV per atom

Entry 6:
# YTcP2

A relaxed structure of YTcP2 (GGA-PBE, Alexandria).

```
8
Lattice="6.730 0.000 0.000 0.000 3.894 0.000 -2.255 0.000 5.384" Properties=species:S:1:pos:R:3 pbc="T T T"
Y 0.000 0.000 0.000
Y 3.365 1.947 0.000
Tc -1.128 1.947 2.692
Tc 2.237 0.000 2.692
P -0.009 0.000 3.702
P 1.119 1.947 1.682
P 3.356 1.947 3.702
P 4.484 0.000 1.682
```

Summary:
theoretical density: 5.9 g cm⁻³
formation energy from the elements: -0.81 eV/atom
D(E_F): 0.828 states/eV per atom

Entry 7:
# YTcP2

A relaxed structure of YTcP2 (GGA-PBE, Alexandria).

```
8
Lattice="3.984 0.000 0.000 0.000 5.366 0.000 0.000 0.000 6.594" Properties=species:S:1:pos:R:3 pbc="T T T"
Y 0.000 0.000 0.000
Y 1.992 2.683 3.297
Tc 0.000 0.000 3.297
Tc 1.992 2.683 0.000
P 0.000 2.683 1.329
P 0.000 2.683 5.265
P 1.992 0.000 1.968
P 1.992 0.000 4.626
```

Summary:
theoretical density: 5.9 g cm⁻³
formation energy from the elements: -0.61 eV/atom
D(E_F): 0.515 states/eV per atom

Entry 8:
# YTcP2

A relaxed structure of YTcP2 (GGA-PBE, Alexandria).

```
4
Lattice="3.730 0.000 0.000 0.000 4.022 0.000 0.000 0.000 4.867" Properties=species:S:1:pos:R:3 pbc="T T T"
Y 0.000 0.000 0.000
Tc 1.865 0.000 2.433
P 1.865 2.011 1.115
P 1.865 2.011 3.752
```

Summary:
theoretical density: 5.7 g cm⁻³
formation energy from the elements: -0.72 eV/atom
D(E_F): 0.368 states/eV per atom

Entry 9:
# YTcP2

A relaxed structure of YTcP2 (GGA-PBE, Alexandria).

```
16
Lattice="6.446 0.000 0.000 0.000 6.446 0.000 0.000 0.000 6.446" Properties=species:S:1:pos:R:3 pbc="T T T"
Y 0.000 0.000 0.000
Y 0.000 3.223 3.223
Y 3.223 0.000 3.223
Y 3.223 3.223 0.000
Tc 1.612 1.612 4.835
Tc 1.612 4.835 1.612
Tc 4.835 1.612 1.612
Tc 4.835 4.835 4.835
P 0.000 0.000 3.223
P 0.000 3.223 0.000
P 1.612 1.612 1.612
P 1.612 4.835 4.835
P 3.223 0.000 0.000
P 3.223 3.223 3.223
P 4.835 1.612 4.835
P 4.835 4.835 1.612
```

Summary:
theoretical density: 6.2 g cm⁻³
formation energy from the elements: 0.08 eV/atom
D(E_F): 0.537 states/eV per atom

Entry 10:
# Y2TcP

A relaxed structure of Y2TcP (GGA-PBE, Alexandria).

```
12
Lattice="4.106 0.000 0.000 -2.053 3.556 0.000 0.000 0.000 20.410" Properties=species:S:1:pos:R:3 pbc="T T T"
Y 0.000 0.000 0.000
Y 0.000 0.000 3.600
Y 0.000 2.371 13.607
Y 0.000 2.371 17.207
Y 2.053 1.185 6.803
Y 2.053 1.185 10.404
Tc 0.000 0.000 8.588
Tc 0.000 2.371 1.784
Tc 2.053 1.185 15.391
P 0.000 0.000 15.430
P 0.000 2.371 8.626
P 2.053 1.185 1.823
```

Summary:
theoretical density: 5.1 g cm⁻³
formation energy from the elements: -0.52 eV/atom
D(E_F): 1.386 states/eV per atom

Entry 11:
# Y2TcP

A relaxed structure of Y2TcP (GGA-PBE, Alexandria).

```
8
Lattice="3.825 0.000 0.000 0.000 4.159 0.000 0.000 0.000 10.773" Properties=species:S:1:pos:R:3 pbc="T T T"
Y 0.000 0.000 0.000
Y 0.000 2.079 5.386
Y 1.912 0.000 2.997
Y 1.912 2.079 8.384
Tc 1.912 0.000 6.063
Tc 1.912 2.079 0.676
P 0.000 0.000 7.601
P 0.000 2.079 2.214
```

Summary:
theoretical density: 5.9 g cm⁻³
formation energy from the elements: -0.71 eV/atom
D(E_F): 0.465 states/eV per atom

Entry 12:
# YTcP2

A relaxed structure of YTcP2 (GGA-PBE, Alexandria).

```
4
Lattice="3.780 0.000 0.000 0.000 3.772 0.000 -0.015 0.000 5.304" Properties=species:S:1:pos:R:3 pbc="T T T"
Y 0.000 0.000 0.000
Tc 1.882 1.886 2.652
P -0.008 0.000 2.652
P 1.890 1.886 0.000
```

Summary:
theoretical density: 5.5 g cm⁻³
formation energy from the elements: -0.45 eV/atom
D(E_F): 0.682 states/eV per atom

Entry 13:
# YTc3P

A relaxed structure of YTc3P (GGA-PBE, Alexandria).

```
5
Lattice="4.828 0.000 0.000 0.000 4.828 0.000 0.000 0.000 4.828" Properties=species:S:1:pos:R:3 pbc="T T T"
Y 0.000 0.000 0.000
Tc 0.000 0.000 2.414
Tc 0.000 2.414 0.000
Tc 2.414 0.000 0.000
P 2.414 2.414 2.414
```

Summary:
theoretical density: 6.1 g cm⁻³
formation energy from the elements: 2.61 eV/atom
D(E_F): 1.229 states/eV per atom

Entry 14:
# Y2TcP

A relaxed structure of Y2TcP (GGA-PBE, Alexandria).

```
4
Lattice="3.232 0.000 0.000 0.000 3.232 0.000 0.000 0.000 8.141" Properties=species:S:1:pos:R:3 pbc="T T T"
Y 0.000 0.000 0.000
Y 1.616 1.616 3.065
Tc 1.616 1.616 6.068
P 0.000 0.000 5.046
```

Summary:
theoretical density: 6.0 g cm⁻³
formation energy from the elements: -0.42 eV/atom
D(E_F): 0.832 states/eV per atom

Entry 15:
# ZnTc2P

A relaxed structure of ZnTc2P (GGA-PBE, Alexandria).

```
16
Lattice="5.971 0.000 0.000 0.000 5.971 0.000 0.000 0.000 5.971" Properties=species:S:1:pos:R:3 pbc="T T T"
Zn 0.000 0.000 0.000
Zn 0.000 2.985 2.985
Zn 2.985 0.000 2.985
Zn 2.985 2.985 0.000
Tc 1.493 1.493 1.493
Tc 1.493 1.493 4.478
Tc 1.493 4.478 1.493
Tc 1.493 4.478 4.478
Tc 4.478 1.493 1.493
Tc 4.478 1.493 4.478
Tc 4.478 4.478 1.493
Tc 4.478 4.478 4.478
P 0.000 0.000 2.985
P 0.000 2.985 0.000
P 2.985 0.000 0.000
P 2.985 2.985 2.985
```

Summary:
theoretical density: 9.1 g cm⁻³
formation energy from the elements: -0.03 eV/atom
D(E_F): 0.950 states/eV per atom